Record 1
A plane-wave DFT calculation with PBE-GGA was carried out for TbPrSi2Pd2 after structural relaxation.

Lattice parameters (Å, degrees): 4.2207 4.2207 8.1886 90.00 90.00 120.00
Space group P-3m1 (No. 164)
Inequivalent atoms, fractional coordinates:
Tb1 0.0000 0.0000 0.0000 [1 per cell]
Pr1 0.0000 0.0000 0.5000 [1 per cell]
Si1 0.3333 0.6667 0.7552 [2 per cell]
Pd1 0.3333 0.6667 0.2325 [2 per cell]

uncorrected formation energy: -87.7 kJ/mol of atoms
density: 7.48 g cm⁻³

Record 2
A plane-wave DFT calculation with PBE-GGA was carried out for SeS3N after structural relaxation.

Lattice parameters (Å, degrees): 4.8171 4.8171 4.8171 90.00 90.00 90.00
Space group Pm-3m (No. 221)
Inequivalent atoms, fractional coordinates:
Se1 0.0000 0.0000 0.0000 [1 per cell]
S1 0.0000 0.0000 0.5000 [3 per cell]
N1 0.5000 0.5000 0.5000 [1 per cell]

energy relative to the lowest polymorph listed for this composition: 1.324 eV/atom
uncorrected formation energy: 176.3 kJ/mol of atoms
density: 2.81 g cm⁻³

Record 3
A plane-wave DFT calculation with PBE-GGA was carried out for Pr5Nd2Tm2 after structural relaxation.

Lattice parameters (Å, degrees): 5.8534 7.1533 8.4769 102.29 110.03 90.00
Space group P-1 (No. 2)
Inequivalent atoms, fractional coordinates:
Pr1 0.0000 0.0000 0.0000 [1 per cell]
Pr2 0.2041 0.9918 0.4069 [2 per cell]
Pr3 0.4101 0.3045 0.8222 [2 per cell]
Nd1 0.1721 0.4688 0.3430 [2 per cell]
Tm1 0.3850 0.8164 0.7716 [2 per cell]

energy relative to the lowest polymorph listed for this composition: 0.000 eV/atom
density: 6.80 g cm⁻³
calculated formation energy: 156 meV per atom

Record 4
A plane-wave DFT calculation with PBE-GGA was carried out for CeNd10Y6 after structural relaxation.

Lattice parameters (Å, degrees): 9.8931 9.8931 6.9583 90.00 90.00 120.00
Space group P-31m (No. 162)
Inequivalent atoms, fractional coordinates:
Ce1 0.0000 0.0000 0.0000 [1 per cell]
Nd1 0.0000 0.2736 0.3174 [6 per cell]
Nd2 0.3333 0.6667 0.0000 [2 per cell]
Nd3 0.3333 0.6667 0.5000 [2 per cell]
Y1 0.0000 0.3697 0.8106 [6 per cell]

density: 5.96 g cm⁻³
calculated formation energy: 154 meV per atom

Question: Look up the density of the fourth one.
Answer: 5.96 g cm⁻³